Record 1
A relaxed structure of BeCrMo2, computed with PBE.

abc: 2.5995 2.5995 7.8374
angles: 90.00 90.00 90.00
Space group P4mm (No. 99)
Unique sites:
Be 0.0000 0.0000 0.0000 x1
Cr 0.5000 0.5000 0.1976 x1
Mo 0.0000 0.0000 0.4738 x1
Mo 0.5000 0.5000 0.7751 x1


Record 2
A relaxed structure of Be2CrMo, computed with PBE.

ΔE to the lowest computed polymorph: 0.157 eV per atom

abc: 2.5169 3.5651 5.0317
angles: 90.00 97.77 90.00
Space group P2/m (No. 10)
Unique sites:
Be 0.0086 0.0000 0.2759 x2
Cr 0.5000 0.5000 0.5000 x1
Mo 0.5000 0.5000 0.0000 x1


Record 3
A relaxed structure of BeCrMo2, computed with PBE.

abc: 2.6014 2.6014 7.8564
angles: 90.00 90.00 90.00
Space group P4/mmm (No. 123)
Unique sites:
Be 0.0000 0.0000 0.0000 x1
Cr 0.0000 0.0000 0.5000 x1
Mo 0.5000 0.5000 0.2253 x2


Record 4
A relaxed structure of Be2CrMo, computed with PBE.

ΔE to the lowest computed polymorph: 0.302 eV per atom

abc: 3.0038 3.0038 5.1933
angles: 90.00 90.00 90.00
Space group P4mm (No. 99)
Unique sites:
Be 0.0000 0.0000 0.0000 x1
Be 0.5000 0.5000 0.2226 x1
Cr 0.0000 0.0000 0.4816 x1
Mo 0.5000 0.5000 0.7188 x1


Record 5
A relaxed structure of BeCrMo2, computed with PBE.

abc: 2.6029 4.0795 5.1623
angles: 90.00 101.82 90.00
Space group P2/m (No. 10)
Unique sites:
Be 0.0000 0.0000 0.0000 x1
Cr 0.5000 0.0000 0.5000 x1
Mo 0.2607 0.5000 0.7518 x2


Record 6
A relaxed structure of BeCr3Mo, computed with PBE.

ΔE to the lowest computed polymorph: 0.000 eV per atom

abc: 3.9591 3.9591 3.9591
angles: 90.00 90.00 90.00
Space group Pm-3m (No. 221)
Unique sites:
Be 0.0000 0.0000 0.0000 x1
Cr 0.0000 0.0000 0.5000 x3
Mo 0.5000 0.5000 0.5000 x1


What uncorrected energy values result from the calculations? In sequence: -8.501, -6.899, -8.500, -6.753, -8.588, -7.886 eV/atom.
What size of the total moment values result from the calculations? In sequence: 0.08, 0.00, 0.29, 0.34, 0.00, 0.00 Bohr magnetons per cell.
What formation enthalpy at 0 K values result from the calculations? In sequence: 0.252, 0.078, 0.253, 0.223, 0.165, 0.800 eV per atom.